NpBi3S6, optimized geometry, DFT PBE; uncorrected energy = -5.5270 eV per atom; formation energy (no corrections) = -592.2 meV per atom; M_tot = 8.0 μB per cell
1.0
3.995 0.000 0.000
0.000 11.619 0.406
0.000 -3.490 11.048
S Bi Np
12 6 2
Cartesian
0.999 4.869 4.466
0.999 8.517 6.354
0.999 3.627 10.275
2.996 4.501 1.179
0.999 1.328 2.811
2.996 7.938 3.485
2.996 3.259 6.987
0.999 -2.303 9.755
2.996 -0.389 5.099
0.999 0.190 7.968
2.996 10.431 1.698
2.996 6.800 8.642
0.999 1.783 5.810
2.996 1.473 1.042
0.999 6.106 2.046
2.996 6.346 5.643
2.996 2.022 9.408
0.999 6.655 10.411
0.999 10.062 3.909
2.996 -1.934 7.544


NpBi2S5, optimized geometry, DFT PBE; uncorrected energy = -5.5411 eV per atom; formation energy (no corrections) = -373.6 meV per atom; M_tot = 1.5 μB per cell
1.0
5.543 0.000 1.861
2.771 6.218 0.931
0.633 0.000 7.299
S Bi Np
5 2 1
Cartesian
3.906 4.898 6.735
3.906 1.320 6.735
5.040 1.320 3.357
5.040 4.898 3.357
1.702 3.109 4.115
2.642 3.109 1.317
6.305 3.109 8.774
4.473 3.109 5.046